## YPdW2 (GGA-PBE)

Data for YPdW2 after structural relaxation.

Results
ΔE_f   0.52 eV/atom
Volume   78.49 Å³/f.u.
DFT total energy   -0.6517 Ry/atom
E above lowest polymorph   0 meV per atom

Unit cell a=3.810 b=3.810 c=21.631 alpha=90.00 beta=90.00 gamma=90.00
Space group I-42d (No. 122)
Asymmetric unit:
Y  0.000  0.000  0.000 (multiplicity 4)
Pd  0.000  0.000  0.500 (multiplicity 4)
W  0.248  0.250  0.625 (multiplicity 8)